Entry from Alexandria via LeMat-Bulk: a relaxed TeAs2Pt crystal (PBE-GGA).

Computed properties:
Total energy   -4.593 eV per atom
Magnetic moment   0.00 μB/f.u.

Unit cell a=3.7539 b=4.2418 c=11.3942 alpha=90.00 beta=90.00 gamma=90.00
With the nearest neighbours (Å) after each atom.
Space group Imm2 (No. 44)
Unique sites:
Te 0.0000 0.0000 0.0000  2 Pt 2.73, 2 As 3.01
As 0.0000 0.0000 0.6675  2 Pt 2.60, 2 As 2.69
As 0.0000 0.5000 0.8122  2 As 2.69, 4 Pt 2.84
Pt 0.0000 0.5000 0.3259  6 As 2.60-2.84, 2 Te 2.73


Entry from Alexandria via LeMat-Bulk: a relaxed BeInBi2 crystal (PBE-GGA).

Computed properties:
Energy above the most stable polymorph in this dataset   1.494 eV per formula unit
Total energy   -2.928 eV per atom
Energy relative to the elements   0.63 eV/atom
Magnetic moment   0.00 μB/f.u.

Unit cell a=4.5256 b=4.5256 c=24.3035 alpha=90.00 beta=90.00 gamma=120.00
With the nearest neighbours (Å) after each atom.
Space group R-3m (No. 166, hexagonal axes)
Unique sites:
Be 0.0000 0.0000 0.0000  2 Bi 2.42
In 0.0000 0.0000 0.5000  6 Bi 3.08
Bi 0.0000 0.0000 0.0998  1 Be 2.42